First-principles (PBE) data for crystalline Ac2Tb5Dy4 at its relaxed geometry, as listed in Alexandria.

Cell lengths 12.355, 12.355, 8.865 Å; angles 96.31, 96.31, 16.33 degrees
Atoms (fractional coordinates):
Ac (0.090, 0.090, 0.243)
Ac (0.910, 0.910, 0.757)
Tb (0.144, 0.144, 0.630)
Tb (0.234, 0.234, 0.327)
Tb (0.500, 0.500, 0.500)
Tb (0.766, 0.766, 0.673)
Tb (0.856, 0.856, 0.370)
Dy (0.049, 0.049, 0.857)
Dy (0.320, 0.320, 0.026)
Dy (0.680, 0.680, 0.974)
Dy (0.951, 0.951, 0.143)

For the total energy, the calculation gives -4.344 eV/atom. For the calculated volume, the calculation gives 34.39 Å³ per atom. Its total moment is 0.00 μB per atom. As for the symmetry: C2/m, No. 12.